# PmNbN2O GGA-PBE relaxed
data_PmNbN2O
_symmetry_space_group_name_H-M 'P 1'
_symmetry_Int_Tables_number 1
_cell_length_a 3.745
_cell_length_b 6.220
_cell_length_c 5.828
_cell_angle_alpha 90.00
_cell_angle_beta 90.00
_cell_angle_gamma 90.00
loop_
_symmetry_equiv_pos_as_xyz
'x,y,z'
loop_
_atom_site_label
_atom_site_type_symbol
_atom_site_fract_x
_atom_site_fract_y
_atom_site_fract_z
Pm1 Pm 0.000 0.160 0.000
Pm2 Pm 0.000 0.840 0.500
Nb1 Nb 0.500 0.320 0.536
Nb2 Nb 0.500 0.680 0.036
N1 N 0.000 0.218 0.592
N2 N 0.000 0.782 0.092
N3 N 0.500 0.408 0.887
N4 N 0.500 0.592 0.387
O1 O 0.500 0.088 0.279
O2 O 0.500 0.912 0.779
# Total DFT energy (no corrections)   -9.0492 eV per atom
# Size of the total moment   0.0 μB/cell

***

# PmNbN2O GGA-PBE relaxed
data_PmNbN2O
_symmetry_space_group_name_H-M 'P 1'
_symmetry_Int_Tables_number 1
_cell_length_a 7.967
_cell_length_b 5.641
_cell_length_c 5.780
_cell_angle_alpha 90.00
_cell_angle_beta 90.00
_cell_angle_gamma 90.00
loop_
_symmetry_equiv_pos_as_xyz
'x,y,z'
loop_
_atom_site_label
_atom_site_type_symbol
_atom_site_fract_x
_atom_site_fract_y
_atom_site_fract_z
Pm1 Pm 0.000 0.247 0.000
Pm2 Pm 0.000 0.753 0.500
Pm3 Pm 0.500 0.249 0.903
Pm4 Pm 0.500 0.751 0.403
Nb1 Nb 0.244 0.266 0.461
Nb2 Nb 0.244 0.734 0.961
Nb3 Nb 0.756 0.266 0.461
Nb4 Nb 0.756 0.734 0.961
N1 N 0.000 0.157 0.406
N2 N 0.000 0.843 0.906
N3 N 0.206 0.449 0.741
N4 N 0.206 0.551 0.241
N5 N 0.500 0.326 0.458
N6 N 0.500 0.674 0.958
N7 N 0.794 0.449 0.741
N8 N 0.794 0.551 0.241
O1 O 0.294 0.055 0.124
O2 O 0.294 0.945 0.624
O3 O 0.706 0.055 0.124
O4 O 0.706 0.945 0.624
# Total DFT energy (no corrections)   -9.0424 eV per atom
# Size of the total moment   0.0 μB/cell

***

# PmNbN2O GGA-PBE relaxed
data_PmNbN2O
_symmetry_space_group_name_H-M 'P 1'
_symmetry_Int_Tables_number 1
_cell_length_a 6.337
_cell_length_b 6.337
_cell_length_c 12.485
_cell_angle_alpha 90.00
_cell_angle_beta 90.00
_cell_angle_gamma 120.00
loop_
_symmetry_equiv_pos_as_xyz
'x,y,z'
loop_
_atom_site_label
_atom_site_type_symbol
_atom_site_fract_x
_atom_site_fract_y
_atom_site_fract_z
Pm1 Pm 0.000 0.000 0.000
Pm2 Pm 0.000 0.000 0.500
Pm3 Pm 0.333 0.667 0.458
Pm4 Pm 0.333 0.667 0.958
Pm5 Pm 0.667 0.333 0.458
Pm6 Pm 0.667 0.333 0.958
Nb1 Nb 0.000 0.334 0.225
Nb2 Nb 0.000 0.666 0.725
Nb3 Nb 0.334 0.000 0.225
Nb4 Nb 0.334 0.334 0.725
Nb5 Nb 0.666 0.000 0.725
Nb6 Nb 0.666 0.666 0.225
N1 N 0.000 0.305 0.382
N2 N 0.000 0.362 0.071
N3 N 0.000 0.638 0.571
N4 N 0.000 0.695 0.882
N5 N 0.305 0.000 0.382
N6 N 0.305 0.305 0.882
N7 N 0.362 0.000 0.071
N8 N 0.362 0.362 0.571
N9 N 0.638 0.000 0.571
N10 N 0.638 0.638 0.071
N11 N 0.695 0.000 0.882
N12 N 0.695 0.695 0.382
O1 O 0.000 0.000 0.204
O2 O 0.000 0.000 0.704
O3 O 0.333 0.667 0.242
O4 O 0.333 0.667 0.742
O5 O 0.667 0.333 0.242
O6 O 0.667 0.333 0.742
# Total DFT energy (no corrections)   -8.5859 eV per atom
# Size of the total moment   0.0 μB/cell

***

# PmNbNO GGA-PBE relaxed
data_PmNbNO
_symmetry_space_group_name_H-M 'P 1'
_symmetry_Int_Tables_number 1
_cell_length_a 4.859
_cell_length_b 4.859
_cell_length_c 4.594
_cell_angle_alpha 90.00
_cell_angle_beta 90.00
_cell_angle_gamma 90.00
loop_
_symmetry_equiv_pos_as_xyz
'x,y,z'
loop_
_atom_site_label
_atom_site_type_symbol
_atom_site_fract_x
_atom_site_fract_y
_atom_site_fract_z
Pm1 Pm 0.250 0.750 0.000
Pm2 Pm 0.750 0.250 0.000
Nb1 Nb 0.250 0.250 0.500
Nb2 Nb 0.750 0.750 0.500
N1 N 0.250 0.250 0.002
N2 N 0.750 0.750 0.998
O1 O 0.250 0.750 0.500
O2 O 0.750 0.250 0.500
# Relative energy among the computed polymorphs   323.0 meV/atom
# Total DFT energy (no corrections)   -8.3970 eV per atom
# Size of the total moment   0.1 μB/cell

***

# PmNbNO GGA-PBE relaxed
data_PmNbNO
_symmetry_space_group_name_H-M 'P 1'
_symmetry_Int_Tables_number 1
_cell_length_a 4.051
_cell_length_b 5.544
_cell_length_c 5.225
_cell_angle_alpha 90.00
_cell_angle_beta 90.00
_cell_angle_gamma 90.00
loop_
_symmetry_equiv_pos_as_xyz
'x,y,z'
loop_
_atom_site_label
_atom_site_type_symbol
_atom_site_fract_x
_atom_site_fract_y
_atom_site_fract_z
Pm1 Pm 0.000 0.233 0.000
Pm2 Pm 0.000 0.767 0.500
Nb1 Nb 0.500 0.293 0.501
Nb2 Nb 0.500 0.707 0.001
N1 N 0.000 0.326 0.501
N2 N 0.000 0.674 0.001
O1 O 0.500 0.005 0.758
O2 O 0.500 0.995 0.258
# Relative energy among the computed polymorphs   79.6 meV/atom
# Total DFT energy (no corrections)   -8.6404 eV per atom
# Size of the total moment   0.0 μB/cell

***

# PmNbN2O GGA-PBE relaxed
data_PmNbN2O
_symmetry_space_group_name_H-M 'P 1'
_symmetry_Int_Tables_number 1
_cell_length_a 5.645
_cell_length_b 9.880
_cell_length_c 9.883
_cell_angle_alpha 108.29
_cell_angle_beta 90.07
_cell_angle_gamma 90.00
loop_
_symmetry_equiv_pos_as_xyz
'x,y,z'
loop_
_atom_site_label
_atom_site_type_symbol
_atom_site_fract_x
_atom_site_fract_y
_atom_site_fract_z
Pm1 Pm 0.000 0.000 0.000
Pm2 Pm 0.003 0.494 0.495
Pm3 Pm 0.471 0.255 0.255
Pm4 Pm 0.479 0.755 0.759
Pm5 Pm 0.496 0.557 0.058
Pm6 Pm 0.506 0.057 0.556
Pm7 Pm 0.970 0.800 0.300
Pm8 Pm 0.980 0.294 0.798
Nb1 Nb 0.010 0.151 0.410
Nb2 Nb 0.014 0.899 0.647
Nb3 Nb 0.468 0.906 0.145
Nb4 Nb 0.502 0.663 0.417
Nb5 Nb 0.508 0.146 0.903
Nb6 Nb 0.514 0.409 0.654
Nb7 Nb 0.967 0.410 0.146
Nb8 Nb 0.999 0.637 0.889
N1 N 0.073 0.511 0.016
N2 N 0.074 0.013 0.518
N3 N 0.180 0.530 0.731
N4 N 0.182 0.725 0.532
N5 N 0.187 0.027 0.232
N6 N 0.266 0.981 0.787
N7 N 0.269 0.779 0.986
N8 N 0.271 0.276 0.483
N9 N 0.574 0.037 0.044
N10 N 0.574 0.538 0.541
N11 N 0.679 0.526 0.831
N12 N 0.682 0.823 0.526
N13 N 0.684 0.323 0.026
N14 N 0.767 0.071 0.778
N15 N 0.770 0.271 0.575
N16 N 0.771 0.569 0.276
O1 O 0.179 0.226 0.039
O2 O 0.266 0.467 0.282
O3 O 0.371 0.752 0.263
O4 O 0.378 0.258 0.764
O5 O 0.680 0.012 0.329
O6 O 0.763 0.770 0.087
O7 O 0.874 0.286 0.295
O8 O 0.875 0.795 0.803
# Total DFT energy (no corrections)   -9.0678 eV per atom
# Size of the total moment   0.0 μB/cell

***

# PmNbN2O GGA-PBE relaxed
data_PmNbN2O
_symmetry_space_group_name_H-M 'P 1'
_symmetry_Int_Tables_number 1
_cell_length_a 7.998
_cell_length_b 8.068
_cell_length_c 11.219
_cell_angle_alpha 90.00
_cell_angle_beta 134.22
_cell_angle_gamma 90.00
loop_
_symmetry_equiv_pos_as_xyz
'x,y,z'
loop_
_atom_site_label
_atom_site_type_symbol
_atom_site_fract_x
_atom_site_fract_y
_atom_site_fract_z
Pm1 Pm 0.049 0.242 0.026
Pm2 Pm 0.049 0.258 0.526
Pm3 Pm 0.450 0.743 0.476
Pm4 Pm 0.450 0.757 0.976
Pm5 Pm 0.550 0.243 0.024
Pm6 Pm 0.550 0.257 0.524
Pm7 Pm 0.951 0.742 0.474
Pm8 Pm 0.951 0.758 0.974
Nb1 Nb 0.019 0.013 0.265
Nb2 Nb 0.019 0.487 0.765
Nb3 Nb 0.487 0.510 0.235
Nb4 Nb 0.487 0.990 0.735
Nb5 Nb 0.513 0.010 0.265
Nb6 Nb 0.513 0.490 0.765
Nb7 Nb 0.981 0.513 0.235
Nb8 Nb 0.981 0.987 0.735
N1 N 0.021 0.748 0.217
N2 N 0.021 0.752 0.717
N3 N 0.189 0.543 0.000
N4 N 0.189 0.957 0.500
N5 N 0.302 0.038 0.301
N6 N 0.302 0.462 0.801
N7 N 0.474 0.246 0.194
N8 N 0.474 0.254 0.694
N9 N 0.526 0.746 0.306
N10 N 0.526 0.754 0.806
N11 N 0.698 0.538 0.199
N12 N 0.698 0.962 0.699
N13 N 0.811 0.043 0.500
N14 N 0.811 0.457 0.000
N15 N 0.979 0.248 0.283
N16 N 0.979 0.252 0.783
O1 O 0.201 0.550 0.499
O2 O 0.201 0.950 0.999
O3 O 0.309 0.049 0.810
O4 O 0.309 0.451 0.310
O5 O 0.691 0.549 0.690
O6 O 0.691 0.951 0.190
O7 O 0.799 0.050 0.001
O8 O 0.799 0.450 0.501
# Total DFT energy (no corrections)   -9.0444 eV per atom
# Size of the total moment   0.0 μB/cell

***

# PmNbN2O GGA-PBE relaxed
data_PmNbN2O
_symmetry_space_group_name_H-M 'P 1'
_symmetry_Int_Tables_number 1
_cell_length_a 7.960
_cell_length_b 8.122
_cell_length_c 11.192
_cell_angle_alpha 90.00
_cell_angle_beta 134.55
_cell_angle_gamma 90.00
loop_
_symmetry_equiv_pos_as_xyz
'x,y,z'
loop_
_atom_site_label
_atom_site_type_symbol
_atom_site_fract_x
_atom_site_fract_y
_atom_site_fract_z
Pm1 Pm 0.230 0.005 0.488
Pm2 Pm 0.230 0.495 0.988
Pm3 Pm 0.243 0.505 0.499
Pm4 Pm 0.243 0.995 0.999
Pm5 Pm 0.757 0.005 0.001
Pm6 Pm 0.757 0.495 0.501
Pm7 Pm 0.770 0.505 0.012
Pm8 Pm 0.770 0.995 0.512
Nb1 Nb 0.263 0.243 0.254
Nb2 Nb 0.263 0.257 0.754
Nb3 Nb 0.264 0.747 0.260
Nb4 Nb 0.264 0.753 0.760
Nb5 Nb 0.736 0.247 0.240
Nb6 Nb 0.736 0.253 0.740
Nb7 Nb 0.737 0.743 0.246
Nb8 Nb 0.737 0.757 0.746
N1 N 0.195 0.002 0.215
N2 N 0.195 0.498 0.715
N3 N 0.225 0.503 0.247
N4 N 0.225 0.997 0.747
N5 N 0.435 0.733 0.998
N6 N 0.435 0.767 0.498
N7 N 0.436 0.244 0.688
N8 N 0.436 0.256 0.188
N9 N 0.564 0.744 0.812
N10 N 0.564 0.756 0.312
N11 N 0.565 0.233 0.502
N12 N 0.565 0.267 0.002
N13 N 0.775 0.003 0.253
N14 N 0.775 0.497 0.753
N15 N 0.805 0.502 0.285
N16 N 0.805 0.998 0.785
O1 O 0.079 0.738 0.997
O2 O 0.079 0.762 0.497
O3 O 0.082 0.245 0.834
O4 O 0.082 0.255 0.334
O5 O 0.918 0.745 0.666
O6 O 0.918 0.755 0.166
O7 O 0.921 0.238 0.503
O8 O 0.921 0.262 0.003
# Total DFT energy (no corrections)   -9.0320 eV per atom
# Size of the total moment   0.0 μB/cell